# MgCd3Ag5

Crystalline MgCd3Ag5 at its relaxed geometry (GGA-PBE, Alexandria via LeMat-Bulk).

abc: 5.8714 5.8714 11.7652
angles: 93.25 93.25 80.70
Atoms (fractional coordinates):
Mg1 0.0499 0.0499 0.2613
Mg2 0.9501 0.9501 0.7387
Cd1 0.0000 0.0000 0.0000
Cd2 0.0000 0.0000 0.5000
Cd3 0.2576 0.2576 0.8729
Cd4 0.3286 0.3286 0.4863
Cd5 0.6714 0.6714 0.5137
Cd6 0.7424 0.7424 0.1271
Ag1 0.0075 0.5756 0.3250
Ag2 0.2802 0.2802 0.1284
Ag3 0.3314 0.6686 0.0000
Ag4 0.4244 0.9925 0.6750
Ag5 0.4840 0.4840 0.7069
Ag6 0.5160 0.5160 0.2931
Ag7 0.5756 0.0075 0.3250
Ag8 0.6686 0.3314 0.0000
Ag9 0.7198 0.7198 0.8716
Ag10 0.9925 0.4244 0.6750

Computed properties:
**Calculated density**: 7.50 g/cm3
**Energy**: -0.0707 hartree per atom